# TbY3Te6 PBE relaxed
# Formation energy without anion corrections   -13.933 eV/f.u.
# Total magnetic moment   0.0 μB per formula unit
data_TbY3Te6
_symmetry_space_group_name_H-M 'P 1 21/m 1'
_symmetry_Int_Tables_number 11
_symmetry_space_group_name_Hall '-P 2yb'
_cell_length_a 12.4855
_cell_length_b 4.3544
_cell_length_c 12.8141
_cell_angle_alpha 90.00
_cell_angle_beta 109.39
_cell_angle_gamma 90.00
loop_
_atom_site_label
_atom_site_type_symbol
_atom_site_fract_x
_atom_site_fract_y
_atom_site_fract_z
_atom_site_occupancy
Tb1 Tb 0.0444 0.2500 0.1942 1
Y1 Y 0.1555 0.2500 0.5796 1
Y2 Y 0.3161 0.7500 0.9977 1
Y3 Y 0.4307 0.2500 0.3336 1
Te1 Te 0.0837 0.7500 0.3986 1
Te2 Te 0.1103 0.2500 0.9672 1
Te3 Te 0.1908 0.7500 0.7503 1
Te4 Te 0.2511 0.7500 0.2195 1
Te5 Te 0.3932 0.2500 0.5621 1
Te6 Te 0.4833 0.2500 0.1181 1

# TbY2Te PBE relaxed
# Formation energy without anion corrections   -2.703 eV/f.u.
# Total magnetic moment   0.0 μB per formula unit
data_TbY2Te
_symmetry_space_group_name_H-M 'C m c m'
_symmetry_Int_Tables_number 63
_symmetry_space_group_name_Hall '-C 2c 2'
_cell_length_a 3.9769
_cell_length_b 12.1984
_cell_length_c 9.7985
_cell_angle_alpha 90.00
_cell_angle_beta 90.00
_cell_angle_gamma 90.00
loop_
_atom_site_label
_atom_site_type_symbol
_atom_site_fract_x
_atom_site_fract_y
_atom_site_fract_z
_atom_site_occupancy
Tb1 Tb 0.0000 0.0575 0.2500 1
Y1 Y 0.0000 0.3648 0.0383 1
Te1 Te 0.0000 0.2362 0.7500 1

# Tb2YTe4 PBE relaxed
# Formation energy without anion corrections   -9.501 eV/f.u.
# Total magnetic moment   0.0 μB per formula unit
data_Tb2YTe4
_symmetry_space_group_name_H-M 'C m c m'
_symmetry_Int_Tables_number 63
_symmetry_space_group_name_Hall '-C 2c 2'
_cell_length_a 4.2470
_cell_length_b 14.3804
_cell_length_c 15.0037
_cell_angle_alpha 90.00
_cell_angle_beta 90.00
_cell_angle_gamma 90.00
loop_
_atom_site_label
_atom_site_type_symbol
_atom_site_fract_x
_atom_site_fract_y
_atom_site_fract_z
_atom_site_occupancy
Tb1 Tb 0.0000 0.1313 0.0697 1
Y1 Y 0.0000 0.3718 0.2500 1
Te1 Te 0.0000 0.0297 0.2500 1
Te2 Te 0.0000 0.2209 0.6226 1
Te3 Te 0.0000 0.5000 0.0000 1

# TbY2Te PBE relaxed
# Formation energy without anion corrections   -0.935 eV/f.u.
# Total magnetic moment   1.4 μB per formula unit
data_TbY2Te
_symmetry_space_group_name_H-M 'R -3 m'
_symmetry_Int_Tables_number 166
_symmetry_space_group_name_Hall '-R 3 2"'
_cell_length_a 3.8368
_cell_length_b 3.8368
_cell_length_c 32.0334
_cell_angle_alpha 90.00
_cell_angle_beta 90.00
_cell_angle_gamma 120.00
loop_
_atom_site_label
_atom_site_type_symbol
_atom_site_fract_x
_atom_site_fract_y
_atom_site_fract_z
_atom_site_occupancy
Tb1 Tb 0.0000 0.0000 0.0000 1
Y1 Y 0.0000 0.0000 0.1024 1
Te1 Te 0.0000 0.0000 0.5000 1

# TbY2Te PBE relaxed
# Formation energy without anion corrections   -2.216 eV/f.u.
# Total magnetic moment   0.0 μB per formula unit
data_TbY2Te
_symmetry_space_group_name_H-M 'R 3 m'
_symmetry_Int_Tables_number 160
_symmetry_space_group_name_Hall 'R 3 -2"'
_cell_length_a 3.8989
_cell_length_b 3.8989
_cell_length_c 29.2715
_cell_angle_alpha 90.00
_cell_angle_beta 90.00
_cell_angle_gamma 120.00
loop_
_atom_site_label
_atom_site_type_symbol
_atom_site_fract_x
_atom_site_fract_y
_atom_site_fract_z
_atom_site_occupancy
Tb1 Tb 0.0000 0.0000 0.0000 1
Y1 Y 0.0000 0.0000 0.5723 1
Y2 Y 0.0000 0.0000 0.7617 1
Te1 Te 0.0000 0.0000 0.1668 1

# TbYTe PBE relaxed
# Formation energy without anion corrections   -1.491 eV/f.u.
# Total magnetic moment   0.0 μB per formula unit
data_TbYTe
_symmetry_space_group_name_H-M 'P 3 m 1'
_symmetry_Int_Tables_number 156
_symmetry_space_group_name_Hall 'P 3 -2"'
_cell_length_a 5.1566
_cell_length_b 5.1566
_cell_length_c 4.0209
_cell_angle_alpha 90.00
_cell_angle_beta 90.00
_cell_angle_gamma 120.00
loop_
_atom_site_label
_atom_site_type_symbol
_atom_site_fract_x
_atom_site_fract_y
_atom_site_fract_z
_atom_site_occupancy
Tb1 Tb 0.0000 0.0000 0.0000 1
Y1 Y 0.6667 0.3333 0.5135 1
Te1 Te 0.3333 0.6667 0.7441 1

# Tb2YTe4 PBE relaxed
# Formation energy without anion corrections   -9.784 eV/f.u.
# Total magnetic moment   0.0 μB per formula unit
data_Tb2YTe4
_symmetry_space_group_name_H-M 'C 1 2/m 1'
_symmetry_Int_Tables_number 12
_symmetry_space_group_name_Hall '-C 2y'
_cell_length_a 16.3378
_cell_length_b 4.3567
_cell_length_c 7.6008
_cell_angle_alpha 90.00
_cell_angle_beta 117.38
_cell_angle_gamma 90.00
loop_
_atom_site_label
_atom_site_type_symbol
_atom_site_fract_x
_atom_site_fract_y
_atom_site_fract_z
_atom_site_occupancy
Tb1 Tb 0.2436 0.0000 0.2300 1
Y1 Y 0.0000 0.5000 0.5000 1
Te1 Te 0.1204 0.5000 0.9509 1
Te2 Te 0.1287 0.0000 0.4670 1

# Tb5YTe6 PBE relaxed
# Formation energy without anion corrections   -15.732 eV/f.u.
# Total magnetic moment   0.0 μB per formula unit
data_Tb5YTe6
_symmetry_space_group_name_H-M 'C 1 2/m 1'
_symmetry_Int_Tables_number 12
_symmetry_space_group_name_Hall '-C 2y'
_cell_length_a 7.5637
_cell_length_b 13.1584
_cell_length_c 7.5600
_cell_angle_alpha 90.00
_cell_angle_beta 109.63
_cell_angle_gamma 90.00
loop_
_atom_site_label
_atom_site_type_symbol
_atom_site_fract_x
_atom_site_fract_y
_atom_site_fract_z
_atom_site_occupancy
Tb1 Tb 0.0000 0.0000 0.0000 1
Tb2 Tb 0.0000 0.1668 0.5000 1
Tb3 Tb 0.0000 0.3330 0.0000 1
Y1 Y 0.0000 0.5000 0.5000 1
Te1 Te 0.2504 0.0000 0.7498 1
Te2 Te 0.2504 0.1664 0.2503 1